Here is a relaxed Na5Pt3 crystal from Alexandria via LeMat-Bulk. Energies are from GGA-PBE.

Formation energy   -0.06 eV per atom
ρ   6354 kg/m³
Spin magnetization   0.00 μB per formula unit

a b c (Å): 9.1740 9.1740 5.0226
angles (deg): 90.00 90.00 120.00
Last column: nearest neighbours and their distance in Å.
Space group P6_3/mcm (No. 193)
Unique sites:
Na (0.0000, 0.2441, 0.2500) (multiplicity 6)  1 Pt 2.76
Na (0.3333, 0.6667, 0.0000) (multiplicity 4)  2 Na 2.51
Pt (0.0000, 0.4550, 0.7500) (multiplicity 6)  2 Pt 2.64, 5 Na 2.76-2.96

---

Here is a relaxed Mg2HgP crystal from Alexandria via LeMat-Bulk. Energies are from GGA-PBE.

Formation energy   -0.35 eV per atom
ρ   5265 kg/m³
Spin magnetization   0.00 μB per formula unit

a b c (Å): 6.9811 3.9270 6.7517
angles (deg): 90.00 107.29 90.00
Last column: nearest neighbours and their distance in Å.
Space group C2/m (No. 12)
Unique sites:
Mg (0.2239, 0.0000, 0.1869) (multiplicity 4)  3 P 2.59-2.60
Hg (0.0000, 0.0000, 0.5000) (multiplicity 2)  6 Mg 2.98-3.10
P (0.0000, 0.5000, 0.0000) (multiplicity 2)  6 Mg 2.59-2.60

---

Here is a relaxed Tb2TcBr crystal from Alexandria via LeMat-Bulk. Energies are from GGA-PBE.

ρ   8475 kg/m³
Spin magnetization   1.25 μB per formula unit
ΔE_f (raw)   0.1882 eV/atom

a b c (Å): 3.3253 3.3253 30.4318
angles (deg): 90.00 90.00 120.00
Last column: nearest neighbours and their distance in Å.
Space group R-3m (No. 166, hexagonal axes)
Unique sites:
Tb (0.0000, 0.0000, 0.0871) (multiplicity 6)  1 Tc 2.65
Tc (0.0000, 0.0000, 0.0000) (multiplicity 3)  2 Tb 2.65
Br (0.0000, 0.0000, 0.5000) (multiplicity 3)  6 Tb 3.09, 6 Br 3.33

---

Here is a relaxed CoMo2 crystal from Alexandria via LeMat-Bulk. Energies are from GGA-PBE.

Formation energy   0.24 eV per atom
ρ   9590 kg/m³
Spin magnetization   1.98 μB per formula unit

a b c (Å): 3.1641 3.1641 8.6754
angles (deg): 90.00 90.00 90.00
Last column: nearest neighbours and their distance in Å.
Space group I4/mmm (No. 139)
Unique sites:
Co (0.0000, 0.0000, 0.0000) (multiplicity 2)  10 Mo 2.66-2.89
Mo (0.0000, 0.0000, 0.3331) (multiplicity 4)  5 Mo 2.66-2.90, 5 Co 2.66-2.89

---

Here is a relaxed Ag2PPt crystal from Alexandria via LeMat-Bulk. Energies are from GGA-PBE.

Formation energy   0.02 eV per atom
ρ   11022 kg/m³
Spin magnetization   0.00 μB per formula unit

a b c (Å): 2.9621 4.2373 5.5013
angles (deg): 90.00 105.44 90.00
Last column: nearest neighbours and their distance in Å.
Space group Pm (No. 6)
Unique sites:
Ag (0.0000, 0.0000, 0.0000) (multiplicity 1)  3 Pt 2.84-2.88, 6 Ag 2.92-2.96, 4 P 2.96
Ag (0.3702, 0.5000, 0.7415) (multiplicity 1)  3 P 2.81-2.90, 6 Ag 2.92-2.96, 4 Pt 2.97-2.98
P (0.6369, 0.5000, 0.2715) (multiplicity 1)  2 Pt 2.35
Pt (0.7315, 0.0000, 0.4646) (multiplicity 1)  2 P 2.35

---

Here is a relaxed RbTl2Bi2Pb crystal from Alexandria via LeMat-Bulk. Energies are from GGA-PBE.

Formation energy   -0.10 eV per atom
ρ   8268 kg/m³
Spin magnetization   0.00 μB per formula unit

a b c (Å): 5.5804 5.5804 8.3361
angles (deg): 90.00 90.00 120.00
Last column: nearest neighbours and their distance in Å.
Space group P-3m1 (No. 164)
Unique sites:
Rb (0.0000, 0.0000, 0.0000) (multiplicity 1)  6 Tl 3.77, 2 Pb 4.17
Tl (0.3333, 0.6667, 0.7645) (multiplicity 2)  4 Bi 3.29-3.41
Bi (0.3333, 0.6667, 0.3697) (multiplicity 2)  4 Tl 3.29-3.41, 3 Pb 3.40
Pb (0.0000, 0.0000, 0.5000) (multiplicity 1)  6 Bi 3.40